(1)
{"formula": "HoLuBeCu", "functional": "PBE", "state": "relaxed", "formation_energy_ev_per_atom": -0.0951, "energy_ev_per_cell": -17.3, "lattice_angstrom": [[0.0000, 3.3941, 3.3941], [3.3941, 0.0000, 3.3941], [3.3941, 3.3941, 0.0000]], "species": ["Ho", "Lu", "Be", "Cu"], "frac_coords": [[0.0000, 0.0000, 0.0000], [0.5000, 0.5000, 0.5000], [0.7500, 0.7500, 0.7500], [0.2500, 0.2500, 0.2500]]}

---

(2)
{"formula": "HoMgBeCu", "functional": "PBE", "state": "relaxed", "formation_energy_ev_per_atom": -0.0519, "energy_ev_per_cell": -14.2, "lattice_angstrom": [[0.0000, 3.2721, 3.2721], [3.2721, 0.0000, 3.2721], [3.2721, 3.2721, 0.0000]], "species": ["Ho", "Mg", "Be", "Cu"], "frac_coords": [[0.0000, 0.0000, 0.0000], [0.5000, 0.5000, 0.5000], [0.2500, 0.2500, 0.2500], [0.7500, 0.7500, 0.7500]]}

---

(3)
{"formula": "NdHoBeCu", "functional": "PBE", "state": "relaxed", "formation_energy_ev_per_atom": -0.0094, "energy_ev_per_cell": -17.2, "lattice_angstrom": [[0.0000, 3.5012, 3.5012], [3.5012, 0.0000, 3.5012], [3.5012, 3.5012, 0.0000]], "species": ["Nd", "Ho", "Be", "Cu"], "frac_coords": [[0.0000, 0.0000, 0.0000], [0.5000, 0.5000, 0.5000], [0.2500, 0.2500, 0.2500], [0.7500, 0.7500, 0.7500]]}

---

(4)
{"formula": "HoBe2CuPd5", "functional": "PBE", "state": "relaxed", "formation_energy_ev_per_atom": -0.4835, "energy_ev_per_cell": -46.4, "lattice_angstrom": [[4.3673, 0.0000, 0.0000], [0.0000, 4.3673, 0.0000], [0.0000, 0.0000, 7.0005]], "species": ["Ho", "Be", "Be", "Cu", "Pd", "Pd", "Pd", "Pd", "Pd"], "frac_coords": [[0.0000, 0.0000, 0.0000], [0.5000, 0.5000, 0.3407], [0.5000, 0.5000, 0.6593], [0.0000, 0.0000, 0.5000], [0.0000, 0.5000, 0.2841], [0.0000, 0.5000, 0.7159], [0.5000, 0.0000, 0.2841], [0.5000, 0.0000, 0.7159], [0.5000, 0.5000, 0.0000]]}